(1)
{
  "formula": "Pm4Er2Sc",
  "functional": "PBE-GGA",
  "state": "relaxed",
  "e_form_ev_per_atom": 0.070,
  "e_tot_ev_per_atom": -4.8526,
  "polymorph_energy_ev_per_atom": 0.000,
  "dos_at_fermi_per_ev_cell": 19.9,
  "magmom_total_mub_per_atom": 0.000,
  "spacegroup": "Fdd2 (43)",
  "rho_g_cm3": 7.103,
  "lattice": [[11.877, -3.041, -1.535], [-9.298, 7.992, -1.534], [0.023, 0.045, 6.704]],
  "species": ["Pm", "Er", "Pm", "Pm", "Pm", "Pm", "Pm", "Pm", "Er", "Sc", "Sc", "Er", "Er", "Pm"],
  "frac_coords": [[0.600, 0.563, 0.645], [0.922, 0.104, 0.048], [0.187, 0.798, 0.897], [0.705, 0.168, 0.855], [0.041, 0.152, 0.604], [0.152, 0.041, 0.104], [0.563, 0.600, 0.145], [0.168, 0.705, 0.355], [0.624, 0.306, 0.452], [0.671, 0.421, 0.000], [0.421, 0.671, 0.500], [0.104, 0.922, 0.548], [0.306, 0.624, 0.953], [0.798, 0.187, 0.397]]
}

---

(2)
{
  "formula": "La2ZnNi6Ge",
  "functional": "PBE-GGA",
  "state": "relaxed",
  "e_form_ev_per_atom": -0.370,
  "e_tot_ev_per_atom": -5.4131,
  "dos_at_fermi_per_ev_cell": 5.6,
  "magmom_total_mub_per_atom": 0.000,
  "spacegroup": "P-1 (2)",
  "rho_g_cm3": 7.465,
  "lattice": [[6.191, -0.343, -1.112], [-0.296, 6.312, 1.130], [2.208, 3.814, 4.660]],
  "species": ["La", "Ni", "Ni", "Ge", "Ni", "La", "Ni", "Zn", "Ni", "Ni"],
  "frac_coords": [[0.792, 0.246, 0.454], [0.582, 0.749, 0.167], [0.418, 0.251, 0.833], [0.000, 0.000, 0.000], [0.260, 0.763, 0.011], [0.208, 0.754, 0.546], [0.740, 0.237, 0.989], [0.500, 0.500, 0.000], [0.740, 0.727, 0.498], [0.260, 0.273, 0.502]]
}

---

(3)
{
  "formula": "Li6Tl2Cd3",
  "functional": "PBE-GGA",
  "state": "relaxed",
  "e_form_ev_per_atom": -0.189,
  "e_tot_ev_per_atom": -1.9126,
  "dos_at_fermi_per_ev_cell": 3.0,
  "magmom_total_mub_per_atom": 0.000,
  "spacegroup": "P2/m (10)",
  "rho_g_cm3": 6.016,
  "lattice": [[-2.159, 0.734, 2.028], [-8.302, -1.993, -8.117], [2.632, -5.072, 4.638]],
  "species": ["Li", "Li", "Li", "Tl", "Cd", "Cd", "Li", "Li", "Cd", "Li", "Tl"],
  "frac_coords": [[0.500, 0.163, 0.475], [0.500, 0.700, 0.772], [0.500, 0.837, 0.525], [0.000, 0.559, 0.348], [0.500, 0.000, 0.000], [0.000, 0.887, 0.232], [0.500, 0.636, 0.081], [0.500, 0.300, 0.228], [0.000, 0.113, 0.768], [0.500, 0.364, 0.919], [0.000, 0.441, 0.652]]
}

---

(4)
{
  "formula": "Pu2SbS",
  "functional": "PBE-GGA",
  "state": "relaxed",
  "e_tot_ev_per_atom": -10.3839,
  "polymorph_energy_ev_per_atom": 0.000,
  "dos_at_fermi_per_ev_cell": 19.7,
  "formation_energy_uncorrected_mev_per_atom": -1156,
  "magmom_total_mub_per_atom": 2.731,
  "spacegroup": "R-3m (166)",
  "rho_g_cm3": 10.156,
  "lattice": [[-2.109, 3.386, 1.358], [-3.960, -0.399, 1.384], [0.298, -0.095, 7.239]],
  "species": ["Pu", "Sb", "Pu", "S"],
  "frac_coords": [[0.761, 0.761, 0.718], [0.000, 0.000, 0.000], [0.239, 0.239, 0.282], [0.500, 0.500, 0.500]]
}

---

(5)
{
  "formula": "Na14LiIn",
  "functional": "PBE-GGA",
  "state": "relaxed",
  "e_form_ev_per_atom": 0.008,
  "e_tot_ev_per_atom": -1.4372,
  "dos_at_fermi_per_ev_cell": 8.2,
  "magmom_total_mub_per_atom": 0.000,
  "spacegroup": "Amm2 (38)",
  "rho_g_cm3": 1.362,
  "lattice": [[-6.842, 1.213, -1.570], [1.390, -5.423, 4.405], [-0.838, 7.392, 9.365]],
  "species": ["Li", "Na", "Na", "Na", "In", "Na", "Na", "Na", "Na", "Na", "Na", "Na", "Na", "Na", "Na", "Na"],
  "frac_coords": [[0.058, 0.942, 0.500], [0.876, 0.124, 0.247], [0.565, 0.942, 0.500], [0.058, 0.435, 0.500], [0.556, 0.444, 0.500], [0.686, 0.804, 0.000], [0.869, 0.625, 0.732], [0.869, 0.625, 0.268], [0.381, 0.619, 0.259], [0.196, 0.314, 0.000], [0.375, 0.131, 0.732], [0.689, 0.311, 0.000], [0.188, 0.812, 0.000], [0.375, 0.131, 0.268], [0.381, 0.619, 0.741], [0.876, 0.124, 0.753]]
}

---

(6)
{
  "formula": "TiZnAg3",
  "functional": "PBE-GGA",
  "state": "relaxed",
  "e_form_ev_per_atom": 1.128,
  "e_tot_ev_per_atom": -2.4168,
  "polymorph_energy_ev_per_atom": 0.396,
  "dos_at_fermi_per_ev_cell": 4.2,
  "magmom_total_mub_per_atom": 0.257,
  "spacegroup": "Pm-3m (221)",
  "rho_g_cm3": 5.541,
  "lattice": [[-2.509, 4.361, -0.686], [0.643, -0.420, -5.019], [-4.367, -2.567, -0.344]],
  "species": ["Ag", "Ti", "Ag", "Zn", "Ag"],
  "frac_coords": [[0.500, 0.000, 0.000], [0.000, 0.000, 0.000], [0.000, 0.000, 0.500], [0.500, 0.500, 0.500], [0.000, 0.500, 0.000]]
}

---

(7)
{
  "formula": "NdZrTe2",
  "functional": "PBE-GGA",
  "state": "relaxed",
  "e_tot_ev_per_atom": -5.8940,
  "polymorph_energy_ev_per_atom": 0.000,
  "dos_at_fermi_per_ev_cell": 2.4,
  "formation_energy_uncorrected_mev_per_atom": -994,
  "magmom_total_mub_per_atom": 0.000,
  "spacegroup": "P4/mmm (123)",
  "rho_g_cm3": 7.924,
  "lattice": [[3.691, 0.000, 0.000], [0.000, 3.691, 0.000], [0.000, 0.000, 7.548]],
  "species": ["Te", "Nd", "Zr", "Te"],
  "frac_coords": [[0.000, 0.000, 0.772], [0.500, 0.500, 0.500], [0.500, 0.500, 0.000], [0.000, 0.000, 0.228]]
}

---

(8)
{
  "formula": "LaMn5C4",
  "functional": "PBE-GGA",
  "state": "relaxed",
  "e_form_ev_per_atom": 0.098,
  "e_tot_ev_per_atom": -8.6689,
  "dos_at_fermi_per_ev_cell": 17.3,
  "magmom_total_mub_per_atom": 0.661,
  "spacegroup": "P2_1/m (11)",
  "rho_g_cm3": 6.232,
  "lattice": [[-0.601, 4.920, 0.351], [-2.533, 0.085, -5.527], [-6.910, -4.630, 3.096]],
  "species": ["Mn", "Mn", "C", "Mn", "Mn", "Mn", "Mn", "C", "Mn", "C", "Mn", "C", "C", "C", "La", "C", "La", "Mn", "C", "Mn"],
  "frac_coords": [[0.393, 0.291, 0.104], [0.607, 0.791, 0.396], [0.467, 0.000, 0.217], [0.723, 0.762, 0.721], [0.393, 0.709, 0.104], [0.815, 0.500, 0.964], [0.607, 0.209, 0.396], [0.533, 0.500, 0.283], [0.185, 0.000, 0.536], [0.055, 0.725, 0.915], [0.277, 0.738, 0.779], [0.507, 0.500, 0.744], [0.945, 0.775, 0.585], [0.945, 0.225, 0.585], [0.872, 0.000, 0.085], [0.493, 0.000, 0.756], [0.128, 0.500, 0.415], [0.277, 0.262, 0.779], [0.055, 0.275, 0.915], [0.723, 0.238, 0.721]]
}

---

(9)
{
  "formula": "Cd5HgRh2",
  "functional": "PBE-GGA",
  "state": "relaxed",
  "e_form_ev_per_atom": -0.043,
  "e_tot_ev_per_atom": -2.4909,
  "dos_at_fermi_per_ev_cell": 3.0,
  "magmom_total_mub_per_atom": 0.000,
  "spacegroup": "Immm (71)",
  "rho_g_cm3": 9.637,
  "lattice": [[-1.244, 3.183, 2.993], [-6.349, 1.180, -0.445], [-1.803, -2.719, 5.590]],
  "species": ["Hg", "Rh", "Rh", "Cd", "Cd", "Cd", "Cd", "Cd"],
  "frac_coords": [[0.000, 0.000, 0.000], [0.316, 0.184, 0.184], [0.684, 0.816, 0.816], [0.000, 0.500, 0.500], [0.318, 0.509, 0.854], [0.682, 0.146, 0.491], [0.682, 0.491, 0.146], [0.318, 0.854, 0.509]]
}

---

(10)
{
  "formula": "Mg4Zr5",
  "functional": "PBE-GGA",
  "state": "relaxed",
  "e_form_ev_per_atom": 0.110,
  "e_tot_ev_per_atom": -5.3474,
  "polymorph_energy_ev_per_atom": 0.077,
  "dos_at_fermi_per_ev_cell": 29.2,
  "magmom_total_mub_per_atom": 0.000,
  "spacegroup": "P6_3/mcm (193)",
  "rho_g_cm3": 4.587,
  "lattice": [[8.702, 0.000, 0.000], [-4.351, 7.536, 0.000], [0.000, 0.000, 6.109]],
  "species": ["Zr", "Mg", "Zr", "Zr", "Zr", "Zr", "Mg", "Mg", "Zr", "Mg", "Zr", "Zr", "Zr", "Zr", "Mg", "Mg", "Mg", "Mg"],
  "frac_coords": [[0.337, 0.337, 0.250], [0.000, 0.000, 0.000], [0.333, 0.667, 0.000], [0.000, 0.663, 0.250], [0.663, 0.000, 0.250], [0.667, 0.333, 0.500], [0.000, 0.331, 0.250], [0.000, 0.000, 0.500], [0.000, 0.337, 0.750], [0.331, 0.331, 0.750], [0.667, 0.333, 0.000], [0.663, 0.663, 0.750], [0.333, 0.667, 0.500], [0.337, 0.000, 0.750], [0.331, 0.000, 0.250], [0.669, 0.669, 0.250], [0.000, 0.669, 0.750], [0.669, 0.000, 0.750]]
}

---

(11)
{
  "formula": "Li2CaAc2Tl2",
  "functional": "PBE-GGA",
  "state": "relaxed",
  "e_form_ev_per_atom": -0.200,
  "e_tot_ev_per_atom": -2.8831,
  "dos_at_fermi_per_ev_cell": 4.7,
  "magmom_total_mub_per_atom": 0.000,
  "spacegroup": "R-3m (166)",
  "rho_g_cm3": 7.042,
  "lattice": [[-1.180, -3.151, 3.732], [1.720, -4.721, -0.060], [8.230, 0.245, 6.191]],
  "species": ["Tl", "Ac", "Ac", "Li", "Ca", "Tl", "Li"],
  "frac_coords": [[0.268, 0.268, 0.196], [0.124, 0.124, 0.629], [0.876, 0.876, 0.371], [0.382, 0.382, 0.853], [0.000, 0.000, 0.000], [0.732, 0.732, 0.804], [0.618, 0.618, 0.147]]
}

---

(12)
{
  "formula": "Ac2NdAg2",
  "functional": "PBE-GGA",
  "state": "relaxed",
  "e_form_ev_per_atom": -0.108,
  "e_tot_ev_per_atom": -3.8454,
  "polymorph_energy_ev_per_atom": 0.000,
  "dos_at_fermi_per_ev_cell": 11.4,
  "magmom_total_mub_per_atom": 0.000,
  "spacegroup": "P2_1/m (11)",
  "rho_g_cm3": 7.870,
  "lattice": [[4.320, 0.000, 0.000], [0.000, 6.524, -1.041], [0.000, -3.813, 12.795]],
  "species": ["Ac", "Ac", "Ag", "Ac", "Nd", "Ag", "Ag", "Ac", "Ag", "Nd"],
  "frac_coords": [[0.750, 0.718, 0.438], [0.250, 0.765, 0.875], [0.750, 0.657, 0.029], [0.750, 0.235, 0.125], [0.750, 0.178, 0.782], [0.750, 0.169, 0.359], [0.250, 0.831, 0.641], [0.250, 0.282, 0.562], [0.250, 0.343, 0.971], [0.250, 0.822, 0.218]]
}